(1)
A relaxed TbErFe crystal. Source: Alexandria, functional PBE.

The space group is I4mm (No. 107) and the conventional cell measures 3.315, 3.315 and 12.787 Å, with angles of 90.00, 90.00 and 90.00 degrees. The asymmetric unit holds Tb at (0.000, 0.000, 0.000), Er at (0.000, 0.000, 0.251) and Fe at (0.000, 0.000, 0.628).

As for the total energy: -5.845 eV per atom. As for the calculated formation energy: 0.122 eV/f.u. The value obtained for the offset from the most stable computed form is 0 meV/atom. The density of states at the Fermi level comes out at 3.5 states/eV/cell. The magnetization is 0.001 μB/f.u.


(2)
A relaxed MoAs crystal. Source: Alexandria, functional PBE.

The space group is Imma (No. 74) and the conventional cell measures 3.096, 4.255 and 9.851 Å, with angles of 90.00, 90.00 and 90.00 degrees. The asymmetric unit holds Mo at (0.000, 0.250, 0.114) and As at (0.000, 0.250, 0.607).

As for the total energy: -7.663 eV per atom. As for the calculated formation energy: 0.155 eV/f.u. The density of states at the Fermi level comes out at 5.9 states/eV/cell. The magnetization is 0.000 μB/f.u.


(3)
A relaxed Tm4CdGa2Ru crystal. Source: Alexandria, functional PBE.

The space group is R-3m (No. 166, hexagonal axes) and the conventional cell measures 4.9894, 4.9894 and 24.3810 Å, with angles of 90.00, 90.00 and 120.00 degrees. The asymmetric unit holds Tm at (0.0000, 0.0000, 0.1167), Tm at (0.0000, 0.0000, 0.3692), Cd at (0.0000, 0.0000, 0.5000), Ga at (0.0000, 0.0000, 0.2451) and Ru at (0.0000, 0.0000, 0.0000).

As for the total energy: -4.763 eV per atom. As for the calculated formation energy: -3.976 eV/f.u. The density of states at the Fermi level comes out at 13.6 states/eV/cell. The magnetization is 0.000 μB/f.u.


(4)
A relaxed Zr4MnAl crystal. Source: Alexandria, functional PBE.

The space group is F-43m (No. 216) and the conventional cell measures 8.048, 8.048 and 8.048 Å, with angles of 90.00, 90.00 and 90.00 degrees. The asymmetric unit holds Zr at (0.125, 0.125, 0.125), Mn at (0.000, 0.000, 0.500) and Al at (0.250, 0.250, 0.750).

As for the total energy: -7.427 eV per atom. As for the calculated formation energy: 2.544 eV/f.u. The density of states at the Fermi level comes out at 30.4 states/eV/cell. The magnetization is 3.528 μB/f.u.


(5)
A relaxed K3VBr crystal. Source: Alexandria, functional PBE.

The space group is Pm-3m (No. 221) and the conventional cell measures 6.279, 6.279 and 6.279 Å, with angles of 90.00, 90.00 and 90.00 degrees. The asymmetric unit holds K at (0.000, 0.000, 0.500), V at (0.500, 0.500, 0.500) and Br at (0.000, 0.000, 0.000).

As for the total energy: -2.702 eV per atom. The density of states at the Fermi level comes out at 8.0 states/eV/cell. The magnetization is 4.831 μB/f.u. The calculation puts the uncorrected formation energy at 0.11 eV per atom.


(6)
A relaxed Y2Pu2S7 crystal. Source: Alexandria, functional PBE.

The space group is Imm2 (No. 44) and the conventional cell measures 3.904, 13.971 and 8.554 Å, with angles of 90.00, 90.00 and 90.00 degrees. The asymmetric unit holds Y at (0.000, 0.000, 0.000), Y at (0.000, 0.500, 0.041), Pu at (0.000, 0.243, 0.240), S at (0.000, 0.000, 0.319), S at (0.000, 0.111, 0.722), S at (0.000, 0.315, 0.935) and S at (0.000, 0.360, 0.550).

As for the total energy: -8.055 eV per atom. The density of states at the Fermi level comes out at 33.8 states/eV/cell. The magnetization is 8.039 μB/f.u. The calculation puts the uncorrected formation energy at -1.65 eV per atom.


(7)
A relaxed Li3CaGa crystal. Source: Alexandria, functional PBE.

The space group is Pm-3m (No. 221) and the conventional cell measures 5.580, 5.580 and 5.580 Å, with angles of 90.00, 90.00 and 90.00 degrees. The asymmetric unit holds Li at (0.000, 0.000, 0.500), Ca at (0.000, 0.000, 0.000) and Ga at (0.500, 0.500, 0.500).

As for the total energy: -1.350 eV per atom. As for the calculated formation energy: 4.021 eV/f.u. The value obtained for the offset from the most stable computed form is 953 meV/atom. The density of states at the Fermi level comes out at 3.3 states/eV/cell. The magnetization is 0.000 μB/f.u.


(8)
A relaxed Pr6HgRu2Br3 crystal. Source: Alexandria, functional PBE.

The space group is C2/m (No. 12) and the conventional cell measures 7.338, 12.703 and 8.284 Å, with angles of 90.00, 107.07 and 90.00 degrees. The asymmetric unit holds Pr at (0.201, 0.000, 0.202), Pr at (0.249, 0.183, 0.798), Hg at (0.000, 0.500, 0.000), Ru at (0.000, 0.167, 0.000), Br at (0.000, 0.000, 0.500) and Br at (0.000, 0.333, 0.500).

As for the total energy: -5.193 eV per atom. The density of states at the Fermi level comes out at 12.6 states/eV/cell. The magnetization is 0.000 μB/f.u. The calculation puts the uncorrected formation energy at -0.81 eV per atom.